No. 1
# BeVCu2 (GGA-PBE, optimized geometry)
# Energy of formation from the pure elements ... 1.22 eV per formula unit
data_BeVCu2
_cell_length_a 2.5011
_cell_length_b 2.5011
_cell_length_c 26.4904
_cell_angle_alpha 90.00
_cell_angle_beta 90.00
_cell_angle_gamma 120.00
_space_group_name_H-M_alt 'R -3 m'
_space_group_IT_number 166
_space_group_name_Hall '-R 3 2"'
loop_
_atom_site_label
_atom_site_type_symbol
_atom_site_fract_x
_atom_site_fract_y
_atom_site_fract_z
_atom_site_occupancy
Be1 Be 0.0000 0.0000 0.0000 1
V1 V 0.0000 0.0000 0.5000 1
Cu1 Cu 0.0000 0.0000 0.4046 1



No. 2
# KY2As (GGA-PBE, optimized geometry)
# Energy of formation from the pure elements ... 1.13 eV per formula unit
data_KY2As
_cell_length_a 7.797
_cell_length_b 7.797
_cell_length_c 7.797
_cell_angle_alpha 90.00
_cell_angle_beta 90.00
_cell_angle_gamma 90.00
_space_group_name_H-M_alt 'F -4 3 m'
_space_group_IT_number 216
_space_group_name_Hall 'F -4 2 3'
loop_
_atom_site_label
_atom_site_type_symbol
_atom_site_fract_x
_atom_site_fract_y
_atom_site_fract_z
_atom_site_occupancy
K1 K 0.000 0.000 0.000 1
Y1 Y 0.000 0.000 0.500 1
Y2 Y 0.250 0.250 0.250 1
As1 As 0.250 0.250 0.750 1



No. 3
# MgTi2Ru2 (GGA-PBE, optimized geometry)
# E above lowest polymorph ... 75 meV/atom
# Energy of formation from the pure elements ... -1.35 eV per formula unit
data_MgTi2Ru2
_cell_length_a 7.430
_cell_length_b 7.430
_cell_length_c 2.944
_cell_angle_alpha 90.00
_cell_angle_beta 90.00
_cell_angle_gamma 90.00
_space_group_name_H-M_alt 'P 4/m b m'
_space_group_IT_number 127
_space_group_name_Hall '-P 4 2ab'
loop_
_atom_site_label
_atom_site_type_symbol
_atom_site_fract_x
_atom_site_fract_y
_atom_site_fract_z
_atom_site_occupancy
Mg1 Mg 0.000 0.000 0.000 1
Ti1 Ti 0.140 0.360 0.000 1
Ru1 Ru 0.155 0.655 0.500 1



No. 4
# Y4In2Ru (GGA-PBE, optimized geometry)
# E above lowest polymorph ... 0 meV/atom
# Energy of formation from the pure elements ... -2.81 eV per formula unit
data_Y4In2Ru
_cell_length_a 11.261
_cell_length_b 4.750
_cell_length_c 8.744
_cell_angle_alpha 90.00
_cell_angle_beta 126.00
_cell_angle_gamma 90.00
_space_group_name_H-M_alt 'C 1 2/m 1'
_space_group_IT_number 12
loop_
_space_group_symop_operation_xyz
'x,y,z'
'-x,-y,-z'
'-x,y,-z'
'x,-y,z'
'x+1/2,y+1/2,z'
'-x+1/2,-y+1/2,-z'
'-x+1/2,y+1/2,-z'
'x+1/2,-y+1/2,z'
loop_
_atom_site_label
_atom_site_type_symbol
_atom_site_fract_x
_atom_site_fract_y
_atom_site_fract_z
_atom_site_occupancy
Y1 Y 0.072 0.000 0.358 1
Y2 Y 0.168 0.500 0.057 1
In1 In 0.157 0.500 0.675 1
Ru1 Ru 0.000 0.000 0.000 1



No. 5
# Cs2NaCdO (GGA-PBE, optimized geometry)
# Raw formation energy ... -0.520 eV per atom
data_Cs2NaCdO
_cell_length_a 6.372
_cell_length_b 6.372
_cell_length_c 4.549
_cell_angle_alpha 90.00
_cell_angle_beta 90.00
_cell_angle_gamma 90.00
_space_group_name_H-M_alt 'P 4/m m m'
_space_group_IT_number 123
_space_group_name_Hall '-P 4 2'
loop_
_atom_site_label
_atom_site_type_symbol
_atom_site_fract_x
_atom_site_fract_y
_atom_site_fract_z
_atom_site_occupancy
Cs1 Cs 0.000 0.500 0.000 1
Na1 Na 0.000 0.000 0.500 1
Cd1 Cd 0.500 0.500 0.500 1
O1 O 0.000 0.000 0.000 1



No. 6
# Ho2SnSe5 (GGA-PBE, optimized geometry)
# Raw formation energy ... -1.201 eV per atom
data_Ho2SnSe5
_cell_length_a 5.722
_cell_length_b 14.121
_cell_length_c 13.095
_cell_angle_alpha 90.00
_cell_angle_beta 90.00
_cell_angle_gamma 90.00
_space_group_name_H-M_alt 'C m c m'
_space_group_IT_number 63
_space_group_name_Hall '-C 2c 2'
loop_
_atom_site_label
_atom_site_type_symbol
_atom_site_fract_x
_atom_site_fract_y
_atom_site_fract_z
_atom_site_occupancy
Ho1 Ho 0.000 0.167 0.069 1
Sn1 Sn 0.000 0.184 0.750 1
Se1 Se 0.000 0.031 0.593 1
Se2 Se 0.000 0.271 0.250 1
Se3 Se 0.000 0.309 0.584 1



No. 7
# LaAl3Re (GGA-PBE, optimized geometry)
# E above lowest polymorph ... 2564 meV/atom
# Energy of formation from the pure elements ... 11.37 eV per formula unit
data_LaAl3Re
_cell_length_a 5.413
_cell_length_b 5.413
_cell_length_c 5.413
_cell_angle_alpha 90.00
_cell_angle_beta 90.00
_cell_angle_gamma 90.00
_space_group_name_H-M_alt 'P m -3 m'
_space_group_IT_number 221
_space_group_name_Hall '-P 4 2 3'
loop_
_atom_site_label
_atom_site_type_symbol
_atom_site_fract_x
_atom_site_fract_y
_atom_site_fract_z
_atom_site_occupancy
La1 La 0.000 0.000 0.000 1
Al1 Al 0.000 0.000 0.500 1
Re1 Re 0.500 0.500 0.500 1



No. 8
# Ga5I4Br (GGA-PBE, optimized geometry)
# Raw formation energy ... -0.376 eV per atom
data_Ga5I4Br
_cell_length_a 10.375
_cell_length_b 10.375
_cell_length_c 6.600
_cell_angle_alpha 90.00
_cell_angle_beta 90.00
_cell_angle_gamma 90.00
_space_group_name_H-M_alt 'I 4'
_space_group_IT_number 79
loop_
_space_group_symop_operation_xyz
'x,y,z'
'-y,x,z'
'-x,-y,z'
'y,-x,z'
'x+1/2,y+1/2,z+1/2'
'-y+1/2,x+1/2,z+1/2'
'-x+1/2,-y+1/2,z+1/2'
'y+1/2,-x+1/2,z+1/2'
loop_
_atom_site_label
_atom_site_type_symbol
_atom_site_fract_x
_atom_site_fract_y
_atom_site_fract_z
_atom_site_occupancy
Ga1 Ga 0.000 0.000 0.000 1
Ga2 Ga 0.097 0.291 0.479 1
I1 I 0.095 0.303 0.980 1
Br1 Br 0.000 0.000 0.458 1